[1]
The following is a DFT calculation (SCAN) of a crystal of Eu2AgAu relaxed with PBEsol.

Calculated total energy (eV/atom): -52.63
Mass density (g cm⁻³): 10.23
SG: Fm-3m (225)
Energy of formation from the pure elements (meV per atom): -647

```
Eu2AgAu
1.0
-1.769 0.694 -4.828
3.044 -1.085 -4.060
-1.039 -4.106 -2.998
Ag Au Eu
1 1 2
Cartesian
0.118 -2.248 -5.943
0.000 0.000 0.000
0.177 -3.372 -8.914
0.059 -1.124 -2.971
```

[2]
The following is a DFT calculation (SCAN) of a crystal of AgAu3F relaxed with PBEsol.

Calculated total energy (eV/atom): -47.62
Mass density (g cm⁻³): 9.65
SG: Pm-3m (221)
Formation energy (no corrections) (eV/atom): 0.86

```
AgAu3F
1.0
-4.029 2.917 0.256
-0.586 -1.230 4.791
2.869 3.845 1.338
Au Ag F
3 1 1
Cartesian
-2.014 1.459 0.128
-0.293 -0.615 2.395
1.435 1.922 0.669
0.000 0.000 0.000
-0.873 2.766 3.192
```

[3]
The following is a DFT calculation (SCAN) of a crystal of Ag2AuF relaxed with PBEsol.

Calculated total energy (eV/atom): -34.25
Mass density (g cm⁻³): 11.53
SG: Fm-3m (225)
Formation energy (no corrections) (eV/atom): -0.39

```
Ag2AuF
1.0
-2.719 -3.065 -1.730
1.527 -4.082 -0.884
-1.320 -3.452 2.473
F Ag Au
1 2 1
Cartesian
0.000 0.000 0.000
-0.628 -2.650 -0.035
-1.884 -7.949 -0.106
-1.256 -5.300 -0.071
```

[4]
The following is a DFT calculation (SCAN) of a crystal of AgAuF4 relaxed with PBEsol.

Calculated total energy (eV/atom): -20.35
Mass density (g cm⁻³): 7.33
SG: I4/mcm (140)
Formation energy (no corrections) (eV/atom): -1.24

```
AgAuF4
1.0
5.684 0.000 0.000
0.000 5.684 0.000
-2.842 -2.842 5.344
F Ag Au
8 2 2
Cartesian
4.702 3.824 1.381
-0.982 1.860 3.963
3.824 0.982 1.381
0.982 -1.860 3.963
1.860 4.702 1.381
0.982 1.860 1.381
-1.860 -0.982 3.963
1.860 0.982 3.963
0.000 0.000 2.672
2.842 2.842 2.672
0.000 2.842 0.000
2.842 0.000 0.000
```

[5]
The following is a DFT calculation (SCAN) of a crystal of K2AgAuF6 relaxed with PBEsol.

Calculated total energy (eV/atom): -15.70
Mass density (g cm⁻³): 5.01
SG: Fm-3m (225)
Formation energy (no corrections) (eV/atom): -1.86

```
K2AgAuF6
1.0
6.153 0.000 0.000
3.076 5.328 0.000
3.076 1.776 5.024
F K Ag Au
6 2 1 1
Cartesian
6.153 1.769 1.251
4.609 4.444 1.251
7.697 2.661 3.773
6.153 5.335 3.773
4.609 2.661 3.773
7.697 4.444 1.251
9.229 5.328 3.768
3.076 1.776 1.256
6.153 3.552 2.512
0.000 0.000 0.000
```

[6]
The following is a DFT calculation (SCAN) of a crystal of FeAgAu2 relaxed with PBEsol.

Calculated total energy (eV/atom): -46.88
Mass density (g cm⁻³): 14.66
SG: Imm2 (44)
Energy of formation from the pure elements (meV per atom): 71

```
FeAgAu2
1.0
-2.706 -0.710 -0.141
0.892 -2.639 -3.825
1.749 -2.093 4.779
Au Ag Fe
2 1 1
Cartesian
0.003 -0.015 0.011
-0.909 -2.343 1.405
0.848 -3.116 -0.579
0.835 -3.736 2.773
```

[7]
The following is a DFT calculation (SCAN) of a crystal of FeAgAu2 relaxed with PBEsol.

Calculated total energy (eV/atom): -46.92
Mass density (g cm⁻³): 14.63
SG: P4/mmm (123)
Energy of formation from the pure elements (meV per atom): 34

```
FeAgAu2
1.0
-2.266 0.278 1.596
2.577 -1.116 3.852
1.023 4.610 0.651
Fe Au Ag
1 2 1
Cartesian
0.667 1.886 3.050
0.512 2.305 0.325
1.288 -0.558 1.926
-1.133 0.139 0.798
```

[8]
The following is a DFT calculation (SCAN) of a crystal of FeAg3Au relaxed with PBEsol.

Calculated total energy (eV/atom): -35.11
Mass density (g cm⁻³): 7.78
SG: Pm-3m (221)
Energy of formation from the pure elements (meV per atom): 1169

```
FeAg3Au
1.0
4.975 0.000 0.000
0.000 4.975 0.000
0.000 0.000 4.975
Fe Ag Au
1 3 1
Cartesian
2.487 2.487 2.487
2.487 0.000 0.000
0.000 0.000 2.487
0.000 2.487 0.000
0.000 0.000 0.000
```

[9]
The following is a DFT calculation (SCAN) of a crystal of FeAg2Au relaxed with PBEsol.

Calculated total energy (eV/atom): -37.37
Mass density (g cm⁻³): 12.42
SG: P4/mmm (123)
Energy of formation from the pure elements (meV per atom): 132

```
FeAg2Au
1.0
-0.907 2.492 -2.785
-3.560 -1.448 -0.137
-1.253 2.804 2.917
Au Ag Fe
1 2 1
Cartesian
-2.860 1.924 -0.003
-1.780 -0.724 -0.068
-0.453 1.246 -1.393
-0.626 1.402 1.458
```

[10]
The following is a DFT calculation (SCAN) of a crystal of FeAg2Au relaxed with PBEsol.

Calculated total energy (eV/atom): -37.31
Mass density (g cm⁻³): 12.45
SG: Cmmm (65)
Energy of formation from the pure elements (meV per atom): 197

```
FeAg2Au
1.0
-1.555 2.276 -0.090
-3.210 -2.309 -2.954
-1.154 -0.601 4.761
Fe Au Ag
1 1 2
Cartesian
-2.960 -0.317 0.859
-0.777 1.138 -0.045
-1.605 -1.155 -1.477
-0.577 -0.300 2.381
```

[11]
The following is a DFT calculation (SCAN) of a crystal of FeAgAu2 relaxed with PBEsol.

Calculated total energy (eV/atom): -46.91
Mass density (g cm⁻³): 14.82
SG: Cm (8)
Energy of formation from the pure elements (meV per atom): 42

```
FeAgAu2
1.0
2.782 0.000 0.000
0.000 4.875 0.012
-1.391 -0.801 4.605
Au Fe Ag
2 1 1
Cartesian
0.000 3.179 2.250
1.391 -0.762 4.605
1.391 2.487 0.020
1.391 0.805 2.354
```

[12]
The following is a DFT calculation (SCAN) of a crystal of FeAg2Au relaxed with PBEsol.

Calculated total energy (eV/atom): -37.37
Mass density (g cm⁻³): 12.46
SG: Immm (71)
Energy of formation from the pure elements (meV per atom): 133

```
FeAg2Au
1.0
-0.763 -0.668 2.614
-3.256 -2.906 -1.693
5.172 -1.765 -0.445
Ag Au Fe
2 1 1
Cartesian
-0.494 -3.489 0.468
1.648 -1.850 0.008
-0.382 -0.334 1.307
-1.628 -1.453 -0.847
```

[13]
The following is a DFT calculation (SCAN) of a crystal of FeAgW2Au relaxed with PBEsol.

Calculated total energy (eV/atom): -50.11
Mass density (g cm⁻³): 13.58
SG: P4/mmm (123)
Energy of formation from the pure elements (meV per atom): 1497

```
FeAgW2Au
1.0
4.349 0.000 0.000
0.000 4.349 0.000
0.000 0.000 4.710
W Au Ag Fe
2 1 1 1
Cartesian
2.175 0.000 0.000
0.000 2.175 0.000
0.000 0.000 2.355
2.175 2.175 2.355
0.000 0.000 0.000
```

[14]
The following is a DFT calculation (SCAN) of a crystal of GaAg2Au2 relaxed with PBEsol.

Calculated total energy (eV/atom): -43.53
Mass density (g cm⁻³): 12.66
SG: P4/mbm (127)
Energy of formation from the pure elements (meV per atom): -56

```
GaAg2Au2
1.0
3.968 0.000 0.000
0.000 6.702 0.000
0.000 0.000 6.702
Ag Au Ga
4 4 2
Cartesian
1.984 5.671 2.320
1.984 2.320 1.031
1.984 4.382 5.671
1.984 1.031 4.382
0.000 2.360 5.711
0.000 5.711 4.342
0.000 4.342 0.991
0.000 0.991 2.360
0.000 3.351 3.351
0.000 0.000 0.000
```

[15]
The following is a DFT calculation (SCAN) of a crystal of MnGa2AgAu relaxed with PBEsol.

Calculated total energy (eV/atom): -29.72
Mass density (g cm⁻³): 7.35
SG: P4/mmm (123)
Energy of formation from the pure elements (meV per atom): 573

```
MnGa2AgAu
1.0
4.712 0.000 0.000
0.000 4.712 0.000
0.000 0.000 5.077
Ga Ag Mn Au
2 1 1 1
Cartesian
0.000 2.356 0.000
2.356 0.000 0.000
0.000 0.000 0.000
2.356 2.356 2.539
0.000 0.000 2.539
```

[16]
The following is a DFT calculation (SCAN) of a crystal of TaGa2AgAu relaxed with PBEsol.

Calculated total energy (eV/atom): -39.07
Mass density (g cm⁻³): 9.29
SG: P4/mmm (123)
Energy of formation from the pure elements (meV per atom): 887

```
TaGa2AgAu
1.0
4.647 0.000 0.000
0.000 4.647 0.000
0.000 0.000 5.174
Ag Ga Ta Au
1 2 1 1
Cartesian
2.323 2.323 2.587
0.000 2.323 0.000
2.323 0.000 0.000
0.000 0.000 2.587
0.000 0.000 0.000
```

[17]
The following is a DFT calculation (SCAN) of a crystal of Gd2AgAu relaxed with PBEsol.

Calculated total energy (eV/atom): -55.18
Mass density (g cm⁻³): 11.20
SG: Fm-3m (225)
Energy of formation from the pure elements (meV per atom): -640

```
Gd2AgAu
1.0
-1.600 -4.574 -1.472
2.083 -2.232 -4.041
2.991 -4.043 0.600
Au Ag Gd
1 1 2
Cartesian
1.737 -5.425 -2.456
0.000 0.000 0.000
0.868 -2.712 -1.228
2.605 -8.137 -3.684
```

[18]
The following is a DFT calculation (SCAN) of a crystal of Ag3GeAu relaxed with PBEsol.

Calculated total energy (eV/atom): -35.64
Mass density (g cm⁻³): 7.92
SG: Pm-3m (221)
Energy of formation from the pure elements (meV per atom): 834

```
Ag3GeAu
1.0
-0.301 4.821 1.258
-1.743 1.079 -4.551
-4.668 -0.714 1.618
Ge Au Ag
1 1 3
Cartesian
-3.356 2.593 -0.838
0.000 0.000 0.000
-2.334 -0.357 0.809
-0.150 2.410 0.629
-0.871 0.539 -2.276
```

[19]
The following is a DFT calculation (SCAN) of a crystal of Ag2GeWAu relaxed with PBEsol.

Calculated total energy (eV/atom): -42.72
Mass density (g cm⁻³): 10.75
SG: P4/mmm (123)
Energy of formation from the pure elements (meV per atom): 1411

```
Ag2GeWAu
1.0
-3.502 1.748 2.558
-2.772 -3.492 -1.410
1.399 -2.601 3.691
Ag Au Ge W
2 1 1 1
Cartesian
-1.751 0.874 1.279
-1.386 -1.746 -0.705
0.699 -1.301 1.846
0.000 0.000 0.000
-2.438 -2.173 2.420
```

[20]
The following is a DFT calculation (SCAN) of a crystal of LiAgH2Au relaxed with PBEsol.

Calculated total energy (eV/atom): -21.71
Mass density (g cm⁻³): 8.03
SG: P4/mmm (123)

```
LiAgH2Au
1.0
-0.054 -1.382 -3.289
3.479 -0.745 0.256
-1.123 -4.579 1.942
Ag Au H Li
1 1 2 1
Cartesian
1.151 -3.353 -0.545
0.000 0.000 0.000
-0.027 -0.691 -1.644
1.740 -0.373 0.128
-0.562 -2.290 0.971
```

[21]
The following is a DFT calculation (SCAN) of a crystal of HfMnAgAu2 relaxed with PBEsol.

Calculated total energy (eV/atom): -49.26
Mass density (g cm⁻³): 10.44
SG: P4/mmm (123)
Energy of formation from the pure elements (meV per atom): 863

```
HfMnAgAu2
1.0
-0.653 4.432 -0.810
-2.614 0.405 4.322
4.280 1.085 2.487
Au Mn Hf Ag
2 1 1 1
Cartesian
2.140 0.542 1.244
-1.307 0.203 2.161
-0.326 2.216 -0.405
0.000 0.000 0.000
0.507 2.961 3.000
```

[22]
The following is a DFT calculation (SCAN) of a crystal of AgHgAu2 relaxed with PBEsol.

Calculated total energy (eV/atom): -59.44
Mass density (g cm⁻³): 16.49
SG: Pmm2 (25)
Energy of formation from the pure elements (meV per atom): 17

```
AgHgAu2
1.0
2.982 0.000 0.000
0.000 4.081 0.000
0.000 0.000 5.812
Hg Ag Au
1 1 2
Cartesian
0.000 0.000 2.915
1.491 2.041 4.397
0.000 0.000 5.799
1.491 2.041 1.418
```

[23]
The following is a DFT calculation (SCAN) of a crystal of Ag2HgAu relaxed with PBEsol.

Calculated total energy (eV/atom): -50.03
Mass density (g cm⁻³): 14.50
SG: I4/mmm (139)
Energy of formation from the pure elements (meV per atom): -17

```
Ag2HgAu
1.0
4.152 0.000 0.000
0.000 4.152 0.000
-2.076 -2.076 4.073
Hg Au Ag
1 1 2
Cartesian
2.076 2.076 0.000
0.000 0.000 0.000
0.000 2.076 2.037
2.076 0.000 2.037
```

[24]
The following is a DFT calculation (SCAN) of a crystal of AgHgAu2 relaxed with PBEsol.

Calculated total energy (eV/atom): -59.44
Mass density (g cm⁻³): 16.51
SG: F-43m (216)
Energy of formation from the pure elements (meV per atom): 24

```
AgHgAu2
1.0
-1.131 -4.490 -0.301
1.885 -3.069 2.925
-2.605 -1.963 3.300
Ag Au Hg
1 2 1
Cartesian
-0.926 -4.761 2.962
0.000 0.000 0.000
-1.388 -7.141 4.443
-0.463 -2.380 1.481
```

[25]
The following is a DFT calculation (SCAN) of a crystal of Ag2HgAu relaxed with PBEsol.

Calculated total energy (eV/atom): -50.02
Mass density (g cm⁻³): 14.46
SG: Pmmm (47)
Energy of formation from the pure elements (meV per atom): -9

```
Ag2HgAu
1.0
2.987 0.000 0.025
0.000 4.051 0.000
-0.053 0.000 5.822
Au Ag Hg
1 2 1
Cartesian
1.493 2.025 0.013
-0.012 0.000 1.414
2.945 0.000 4.433
1.467 2.025 2.924
```

[26]
The following is a DFT calculation (SCAN) of a crystal of AgHgAu4 relaxed with PBEsol.

Calculated total energy (eV/atom): -62.67
Mass density (g cm⁻³): 16.16
SG: F-43m (216)
Energy of formation from the pure elements (meV per atom): 25

```
AgHgAu4
1.0
-4.305 -2.501 2.143
-1.828 -4.608 -2.194
0.628 -4.694 2.638
Au Ag Hg
4 1 1
Cartesian
-2.064 -4.425 0.970
-1.750 -6.774 2.290
-4.218 -5.676 2.043
-2.978 -6.731 -0.128
0.000 0.000 0.000
-4.129 -8.852 1.941
```

[27]
The following is a DFT calculation (SCAN) of a crystal of AgHgAu2 relaxed with PBEsol.

Calculated total energy (eV/atom): -59.41
Mass density (g cm⁻³): 16.37
SG: R3m (160)
Energy of formation from the pure elements (meV per atom): 48

```
AgHgAu2
1.0
2.964 0.000 0.000
1.482 2.567 0.000
1.482 0.856 9.367
Ag Au Hg
1 2 1
Cartesian
1.482 0.856 2.274
4.446 2.567 0.024
4.446 2.567 7.093
2.964 1.711 4.659
```

[28]
The following is a DFT calculation (SCAN) of a crystal of Ag2HgAu relaxed with PBEsol.

Calculated total energy (eV/atom): -50.00
Mass density (g cm⁻³): 14.44
SG: C2/m (12)
Energy of formation from the pure elements (meV per atom): 14

```
Ag2HgAu
1.0
-2.610 0.054 1.451
1.340 -4.801 -0.485
2.394 1.210 4.262
Hg Au Ag
1 1 2
Cartesian
1.197 0.605 2.131
-1.305 0.027 0.725
0.604 -2.065 1.164
0.520 -1.472 4.064
```

[29]
The following is a DFT calculation (SCAN) of a crystal of Ag2HgAu relaxed with PBEsol.

Calculated total energy (eV/atom): -50.01
Mass density (g cm⁻³): 14.44
SG: Pmm2 (25)
Energy of formation from the pure elements (meV per atom): 3

```
Ag2HgAu
1.0
-1.822 -1.390 -1.891
3.200 -1.072 -2.295
0.557 -4.906 3.069
Hg Ag Au
1 2 1
Cartesian
1.109 -4.927 0.219
0.829 -2.460 -1.325
0.003 -0.029 0.018
0.273 -2.406 1.505
```